1.
Zr2HgGe: optimized geometry, PBE.

M_tot, μB per atom: 0.35
Total energy, eV per atom: -5.227

Unit cell a=7.0069 b=7.0069 c=7.0069 alpha=90.00 beta=90.00 gamma=90.00
Space group F-43m (No. 216)
Unique sites:
Zr (0.0000, 0.0000, 0.0000) (multiplicity 4)
Zr (0.2500, 0.2500, 0.2500) (multiplicity 4)
Hg (0.2500, 0.2500, 0.7500) (multiplicity 4)
Ge (0.0000, 0.0000, 0.5000) (multiplicity 4)

2.
MgUTl: optimized geometry, PBE.

M_tot, μB per atom: 1.02
Total energy, eV per atom: -4.066

Unit cell a=7.2300 b=7.2300 c=7.2300 alpha=90.00 beta=90.00 gamma=90.00
Space group F-43m (No. 216)
Unique sites:
Mg (0.0000, 0.0000, 0.0000) (multiplicity 4)
U (0.2500, 0.2500, 0.2500) (multiplicity 4)
Tl (0.0000, 0.0000, 0.5000) (multiplicity 4)

3.
HoEr2Ga2: optimized geometry, PBE.

M_tot, μB per atom: 0.00
Total energy, eV per atom: -4.468

Unit cell a=7.6013 b=7.6013 c=4.2606 alpha=90.00 beta=90.00 gamma=90.00
Space group P4/mbm (No. 127)
Unique sites:
Ho (0.0000, 0.0000, 0.0000) (multiplicity 2)
Er (0.1744, 0.3256, 0.5000) (multiplicity 4)
Ga (0.1205, 0.6205, 0.0000) (multiplicity 4)

4.
BaFeNiTe3: optimized geometry, PBE.

M_tot, μB per atom: 0.47
Energy above the most stable polymorph in this dataset, meV per atom: 40
Total energy, eV per atom: -4.632

Unit cell a=4.1985 b=14.7686 c=10.3726 alpha=90.00 beta=90.00 gamma=90.00
Space group Cmcm (No. 63)
Unique sites:
Ba (0.0000, 0.2411, 0.2500) (multiplicity 4)
Fe (0.0000, 0.4639, 0.7500) (multiplicity 4)
Ni (0.0000, 0.0000, 0.0000) (multiplicity 4)
Te (0.0000, 0.0632, 0.7500) (multiplicity 4)
Te (0.0000, 0.3791, 0.5356) (multiplicity 8)

5.
Li6InAg: optimized geometry, PBE.

Total energy, eV per atom: -2.319

Unit cell a=4.5649 b=4.5649 c=6.3135 alpha=90.00 beta=90.00 gamma=90.00
Space group P4/mmm (No. 123)
Unique sites:
Li (0.0000, 0.0000, 0.0000) (multiplicity 1)
Li (0.0000, 0.5000, 0.2431) (multiplicity 4)
Li (0.5000, 0.5000, 0.5000) (multiplicity 1)
In (0.0000, 0.0000, 0.5000) (multiplicity 1)
Ag (0.5000, 0.5000, 0.0000) (multiplicity 1)

6.
Tm2LuSc3Sb2Os: optimized geometry, PBE.

M_tot, μB per atom: 0.00
Total energy, eV per atom: -6.498

Unit cell a=4.1463 b=13.4511 c=7.7653 alpha=90.00 beta=90.00 gamma=90.00
Space group Amm2 (No. 38)
Unique sites:
Tm (0.0000, 0.1951, 0.0000) (multiplicity 4)
Lu (0.0000, 0.0000, 0.5845) (multiplicity 2)
Sc (0.5000, 0.0000, 0.9660) (multiplicity 2)
Sc (0.5000, 0.1153, 0.3110) (multiplicity 4)
Sb (0.5000, 0.1662, 0.6950) (multiplicity 4)
Os (0.0000, 0.0000, 0.1978) (multiplicity 2)

7.
SmAlAsO: optimized geometry, PBE.

M_tot, μB per atom: 0.00
Total energy, eV per atom: -6.135

Unit cell a=4.1782 b=6.6404 c=5.8224 alpha=90.00 beta=90.00 gamma=90.00
Space group Pmc2_1 (No. 26)
Unique sites:
Sm (0.0000, 0.1946, 0.0000) (multiplicity 2)
Al (0.5000, 0.4006, 0.6338) (multiplicity 2)
As (0.0000, 0.2443, 0.4955) (multiplicity 2)
O (0.5000, 0.3674, 0.9561) (multiplicity 2)

8.
HoTmAl2I2: optimized geometry, PBE.

M_tot, μB per atom: 0.00
Total energy, eV per atom: -4.119

Unit cell a=4.2641 b=4.2641 c=12.0100 alpha=90.00 beta=90.00 gamma=120.00
Space group P3m1 (No. 156)
Unique sites:
Ho (0.0000, 0.0000, 0.0000) (multiplicity 1)
Tm (0.0000, 0.0000, 0.6657) (multiplicity 1)
Al (0.3333, 0.6667, 0.8487) (multiplicity 1)
Al (0.6667, 0.3333, 0.8144) (multiplicity 1)
I (0.3333, 0.6667, 0.5055) (multiplicity 1)
I (0.6667, 0.3333, 0.1625) (multiplicity 1)

9.
RbCuNiTe: optimized geometry, PBE.

M_tot, μB per atom: 0.00
Energy above the most stable polymorph in this dataset, meV per atom: 125
Total energy, eV per atom: -2.739

Unit cell a=7.1875 b=7.1875 c=7.1875 alpha=90.00 beta=90.00 gamma=90.00
Space group F-43m (No. 216)
Unique sites:
Rb (0.0000, 0.0000, 0.0000) (multiplicity 4)
Cu (0.2500, 0.2500, 0.7500) (multiplicity 4)
Ni (0.0000, 0.0000, 0.5000) (multiplicity 4)
Te (0.2500, 0.2500, 0.2500) (multiplicity 4)

10.
PrBeNO: optimized geometry, PBE.

M_tot, μB per atom: 0.00
Energy above the most stable polymorph in this dataset, meV per atom: 128
Total energy, eV per atom: -7.259

Unit cell a=3.4041 b=5.4168 c=5.1609 alpha=90.00 beta=90.00 gamma=90.00
Space group Pmc2_1 (No. 26)
Unique sites:
Pr (0.0000, 0.2430, 0.0000) (multiplicity 2)
Be (0.5000, 0.1993, 0.5001) (multiplicity 2)
N (0.0000, 0.3228, 0.4992) (multiplicity 2)
O (0.5000, 0.0013, 0.7509) (multiplicity 2)

11.
KIr: optimized geometry, PBE.

M_tot, μB per atom: 0.02
Energy above the most stable polymorph in this dataset, meV per atom: 0
Total energy, eV per atom: -4.161

Unit cell a=2.8337 b=2.8337 c=5.5803 alpha=90.00 beta=90.00 gamma=120.00
Space group P-6m2 (No. 187)
Unique sites:
K (0.0000, 0.0000, 0.0000) (multiplicity 1)
Ir (0.3333, 0.6667, 0.5000) (multiplicity 1)

12.
GdBPt: optimized geometry, PBE.

M_tot, μB per atom: 0.01
Energy above the most stable polymorph in this dataset, meV per atom: 0
Total energy, eV per atom: -6.039

Unit cell a=5.9474 b=5.9474 c=5.9474 alpha=90.00 beta=90.00 gamma=90.00
Space group F-43m (No. 216)
Unique sites:
Gd (0.0000, 0.0000, 0.0000) (multiplicity 4)
B (0.2500, 0.2500, 0.2500) (multiplicity 4)
Pt (0.0000, 0.0000, 0.5000) (multiplicity 4)

13.
Dy3Er2TmBi2Os: optimized geometry, PBE.

M_tot, μB per atom: 0.01
Total energy, eV per atom: -5.760

Unit cell a=4.2501 b=14.2615 c=8.2329 alpha=90.00 beta=90.00 gamma=90.00
Space group Amm2 (No. 38)
Unique sites:
Dy (0.0000, 0.0000, 0.0000) (multiplicity 2)
Dy (0.0000, 0.1930, 0.5791) (multiplicity 4)
Er (0.5000, 0.1156, 0.2705) (multiplicity 4)
Tm (0.5000, 0.0000, 0.6171) (multiplicity 2)
Bi (0.5000, 0.1666, 0.8860) (multiplicity 4)
Os (0.0000, 0.0000, 0.3864) (multiplicity 2)

14.
LaNd2Sn2Pb5: optimized geometry, PBE.

M_tot, μB per atom: 0.00
Total energy, eV per atom: -4.608

Unit cell a=4.7203 b=26.1857 c=4.8105 alpha=90.00 beta=90.00 gamma=90.00
Space group Cmmm (No. 65)
Unique sites:
La (0.0000, 0.0000, 0.0000) (multiplicity 2)
Nd (0.0000, 0.1896, 0.0000) (multiplicity 4)
Sn (0.0000, 0.2902, 0.5000) (multiplicity 4)
Pb (0.0000, 0.0991, 0.5000) (multiplicity 4)
Pb (0.0000, 0.4023, 0.0000) (multiplicity 4)
Pb (0.0000, 0.5000, 0.5000) (multiplicity 2)

15.
Ho2HgN4: optimized geometry, PBE.

M_tot, μB per atom: 0.26
Total energy, eV per atom: -5.977

Unit cell a=3.7862 b=3.7862 c=8.9841 alpha=90.00 beta=90.00 gamma=120.00
Space group P3m1 (No. 156)
Unique sites:
Ho (0.0000, 0.0000, 0.0000) (multiplicity 1)
Ho (0.3333, 0.6667, 0.6356) (multiplicity 1)
Hg (0.6667, 0.3333, 0.2921) (multiplicity 1)
N (0.0000, 0.0000, 0.2727) (multiplicity 1)
N (0.0000, 0.0000, 0.7490) (multiplicity 1)
N (0.6667, 0.3333, 0.0483) (multiplicity 1)
N (0.6667, 0.3333, 0.5266) (multiplicity 1)

16.
NaPmSeO: optimized geometry, PBE.

M_tot, μB per atom: 0.00
Energy above the most stable polymorph in this dataset, meV per atom: 27
Total energy, eV per atom: -5.830

Unit cell a=4.0900 b=4.0900 c=9.6206 alpha=90.00 beta=90.00 gamma=90.00
Space group P4/nmm (No. 129, origin choice 2)
Unique sites:
Na (0.2500, 0.7500, 0.0000) (multiplicity 2)
Pm (0.2500, 0.2500, 0.3828) (multiplicity 2)
Se (0.2500, 0.2500, 0.7970) (multiplicity 2)
O (0.2500, 0.7500, 0.5000) (multiplicity 2)

17.
TbSmSeO2: optimized geometry, PBE.

M_tot, μB per atom: 0.00
Total energy, eV per atom: -7.625

Unit cell a=3.8870 b=3.8870 c=6.8523 alpha=90.00 beta=90.00 gamma=120.00
Space group P3m1 (No. 156)
Unique sites:
Tb (0.0000, 0.0000, 0.0000) (multiplicity 1)
Sm (0.3333, 0.6667, 0.5781) (multiplicity 1)
Se (0.6667, 0.3333, 0.2857) (multiplicity 1)
O (0.0000, 0.0000, 0.6672) (multiplicity 1)
O (0.3333, 0.6667, 0.9199) (multiplicity 1)

18.
PmBi2: optimized geometry, PBE.

M_tot, μB per atom: 0.00
Energy above the most stable polymorph in this dataset, meV per atom: 1126
Total energy, eV per atom: -3.592

Unit cell a=14.0666 b=14.0666 c=14.0666 alpha=90.00 beta=90.00 gamma=90.00
Space group Fd-3m (No. 227, origin choice 2)
Unique sites:
Pm (0.1250, 0.1250, 0.1250) (multiplicity 8)
Bi (0.0000, 0.0000, 0.0000) (multiplicity 16)

19.
GaB3Mo4: optimized geometry, PBE.

M_tot, μB per atom: 0.00
Total energy, eV per atom: -8.588

Unit cell a=3.1296 b=3.1296 c=23.5134 alpha=90.00 beta=90.00 gamma=120.00
Space group P6_3/mmc (No. 194)
Unique sites:
Ga (0.3333, 0.6667, 0.2500) (multiplicity 2)
B (0.0000, 0.0000, 0.0000) (multiplicity 2)
B (0.3333, 0.6667, 0.6117) (multiplicity 4)
Mo (0.0000, 0.0000, 0.1612) (multiplicity 4)
Mo (0.3333, 0.6667, 0.0566) (multiplicity 4)

20.
AgSb2Os: optimized geometry, PBE.

M_tot, μB per atom: 0.00
Total energy, eV per atom: -4.725

Unit cell a=6.8556 b=6.8556 c=6.8556 alpha=90.00 beta=90.00 gamma=90.00
Space group F-43m (No. 216)
Unique sites:
Ag (0.0000, 0.0000, 0.0000) (multiplicity 4)
Sb (0.0000, 0.0000, 0.5000) (multiplicity 4)
Sb (0.2500, 0.2500, 0.2500) (multiplicity 4)
Os (0.2500, 0.2500, 0.7500) (multiplicity 4)

21.
BaGaAu: optimized geometry, PBE.

Total energy, eV per atom: -2.710

Unit cell a=7.5338 b=7.5338 c=7.5338 alpha=90.00 beta=90.00 gamma=90.00
Space group F-43m (No. 216)
Unique sites:
Ba (0.0000, 0.0000, 0.0000) (multiplicity 4)
Ga (0.2500, 0.2500, 0.2500) (multiplicity 4)
Au (0.2500, 0.2500, 0.7500) (multiplicity 4)

22.
KCuPdSe3: optimized geometry, PBE.

Energy above the most stable polymorph in this dataset, meV per atom: 0
Total energy, eV per atom: -3.866

Unit cell a=3.8605 b=14.1492 c=10.3100 alpha=90.00 beta=90.00 gamma=90.00
Space group Cmcm (No. 63)
Unique sites:
K (0.0000, 0.2481, 0.2500) (multiplicity 4)
Cu (0.0000, 0.4560, 0.7500) (multiplicity 4)
Pd (0.0000, 0.0000, 0.0000) (multiplicity 4)
Se (0.0000, 0.0576, 0.7500) (multiplicity 4)
Se (0.0000, 0.3841, 0.5377) (multiplicity 8)

23.
SrScBeAu: optimized geometry, PBE.

M_tot, μB per atom: 0.00
Energy above the most stable polymorph in this dataset, meV per atom: 200
Total energy, eV per atom: -3.598

Unit cell a=6.8786 b=6.8786 c=6.8786 alpha=90.00 beta=90.00 gamma=90.00
Space group F-43m (No. 216)
Unique sites:
Sr (0.0000, 0.0000, 0.0000) (multiplicity 4)
Sc (0.2500, 0.2500, 0.2500) (multiplicity 4)
Be (0.0000, 0.0000, 0.5000) (multiplicity 4)
Au (0.2500, 0.2500, 0.7500) (multiplicity 4)

24.
Gd2B4O9: optimized geometry, PBE.

M_tot, μB per atom: 0.00
Total energy, eV per atom: -8.240

Unit cell a=6.1636 b=6.4345 c=7.4948 alpha=102.50 beta=97.19 gamma=102.63
Space group P-1 (No. 2)
Unique sites:
Gd (0.0480, 0.0923, 0.2853) (multiplicity 2)
Gd (0.3875, 0.6776, 0.3597) (multiplicity 2)
B (0.1255, 0.3565, 0.6514) (multiplicity 2)
B (0.1620, 0.6815, 0.9268) (multiplicity 2)
B (0.2319, 0.3341, 0.9806) (multiplicity 2)
B (0.4948, 0.1462, 0.1888) (multiplicity 2)
O (0.0048, 0.7888, 0.0204) (multiplicity 2)
O (0.0393, 0.5377, 0.7480) (multiplicity 2)
O (0.0802, 0.8178, 0.4445) (multiplicity 2)
O (0.2639, 0.2630, 0.7888) (multiplicity 2)
O (0.2751, 0.5715, 0.0399) (multiplicity 2)
O (0.2791, 0.4069, 0.5236) (multiplicity 2)
O (0.3132, 0.8696, 0.8816) (multiplicity 2)
O (0.3616, 0.2834, 0.1426) (multiplicity 2)
O (0.4334, 0.0471, 0.3253) (multiplicity 2)